ZrSc2Cu2 PBEsol optimized geometry; DFT formation energy = -3.09 kcal/mol of atoms
1.0
3.309 0.000 0.000
0.000 7.373 0.000
0.000 0.000 7.373
Sc Cu Zr
4 4 2
Cartesian
1.654 1.232 4.918
1.654 4.918 6.141
1.654 6.141 2.455
1.654 2.455 1.232
0.000 2.766 6.452
0.000 6.452 4.607
0.000 4.607 0.921
0.000 0.921 2.766
0.000 0.000 0.000
0.000 3.687 3.687